CrBrNF2: relaxed, PBE with a Hubbard U.

a = 4.7539 Å, b = 4.7539 Å, c = 3.7186 Å
α = 90.00°, β = 90.00°, γ = 90.00°
Fractional coordinates of all 5 atoms:
Cr 0.0000 0.0000 0.0000
Br 0.5000 0.5000 0.5000
N 0.5000 0.5000 0.0000
F 0.0000 0.5000 0.5000
F 0.5000 0.0000 0.5000

Summary:
Symmetry: P4/mmm
Total energy (eV for the cell shown): -19.48